[1]
Compound: DyMg2Pd6
Source: Alexandria via LeMat-Bulk
Functional: PBE
Structure: relaxed

Results
- formation energy (eV per atom) = -0.52
- density (g/cm³) = 8.87

```
DyMg2Pd6
1.0
-2.327 3.821 4.470
2.327 -3.821 4.470
2.327 3.821 -4.470
Dy Mg Pd
1 2 6
Cartesian
0.000 0.000 0.000
0.000 0.000 3.055
0.000 0.000 5.886
2.327 -1.466 2.900
2.327 1.591 0.000
0.000 2.355 1.570
2.327 1.466 2.900
0.000 2.230 4.470
0.000 5.287 1.570
```

[2]
Compound: DyMg8Pd2
Source: Alexandria via LeMat-Bulk
Functional: PBE
Structure: relaxed

Results
- formation energy (eV per atom) = -0.22
- density (g/cm³) = 3.80

```
DyMg8Pd2
1.0
4.046 -6.081 0.000
4.046 6.081 0.000
-1.419 0.000 5.065
Dy Mg Pd
1 8 2
Cartesian
0.000 0.000 0.000
0.792 1.538 2.932
4.046 2.852 0.000
0.792 -1.538 2.932
3.033 0.000 1.103
3.641 0.000 3.963
5.883 1.538 2.134
4.046 -2.852 0.000
5.883 -1.538 2.134
3.337 2.345 2.533
3.337 -2.345 2.533
```

[3]
Compound: Dy2Mg3Pd4
Source: Alexandria via LeMat-Bulk
Functional: PBE
Structure: relaxed

Results
- formation energy (eV per atom) = -0.70
- density (g/cm³) = 7.72

```
Dy2Mg3Pd4
1.0
2.899 -8.213 0.000
2.899 8.213 0.000
0.000 0.000 7.439
Dy Mg Pd
4 6 8
Cartesian
2.899 6.522 6.778
2.899 1.691 3.059
2.899 -1.691 4.380
2.899 -6.522 0.661
0.000 0.000 3.719
1.449 3.763 5.579
1.449 -3.763 1.860
2.899 0.000 0.000
4.348 3.763 5.579
4.348 -3.763 1.860
2.899 5.477 3.980
1.449 1.073 5.579
1.449 -1.073 1.860
2.899 2.737 0.261
2.899 -2.737 7.178
4.348 1.073 5.579
4.348 -1.073 1.860
2.899 -5.477 3.459
```

[4]
Compound: Dy2MgPd
Source: Alexandria via LeMat-Bulk
Functional: PBE
Structure: relaxed

Results
- formation energy (eV per atom) = -0.48
- density (g/cm³) = 7.81

```
Dy2MgPd
1.0
3.632 0.000 0.000
0.000 3.632 0.000
0.000 0.000 7.348
Dy Mg Pd
2 1 1
Cartesian
0.000 0.000 1.643
0.000 0.000 5.705
1.816 1.816 3.674
1.816 1.816 0.000
```